[1]
A relaxed structure of HfAg2B, computed with PBE.

Cell lengths 6.3559, 6.3559, 6.3559 Å; angles 90.00, 90.00, 90.00 degrees
Last column: nearest neighbours and their distance in Å.
Space group Fm-3m (No. 225)
Asymmetric unit:
Hf  0.0000  0.0000  0.0000 [4 per cell]  8 Ag 2.75
Ag  0.2500  0.2500  0.2500 [8 per cell]  4 Hf 2.75, 4 B 2.75
B  0.0000  0.0000  0.5000 [4 per cell]  8 Ag 2.75

ΔE_f, eV/atom: 0.74
Total magnetic moment, μB/cell: 0.00
Polymorph energy (0 for the lowest one), kcal/mol of atoms: 6.03

[2]
A relaxed structure of Hf2MnAgB, computed with PBE.

Cell lengths 4.6332, 4.6332, 3.8039 Å; angles 90.00, 90.00, 90.00 degrees
Last column: nearest neighbours and their distance in Å.
Space group P4/mmm (No. 123)
Asymmetric unit:
Hf  0.0000  0.5000  0.0000 [2 per cell]  2 B 2.32
Mn  0.0000  0.0000  0.5000 [1 per cell]  2 B 1.90
Ag  0.5000  0.5000  0.5000 [1 per cell]  8 Hf 3.00, 4 Mn 3.28
B  0.0000  0.0000  0.0000 [1 per cell]  2 Mn 1.90

ΔE_f, eV/atom: -0.10
Total magnetic moment, μB/cell: 0.00